Record 1
Compound: Pm6DyTm
Source: Alexandria via LeMat-Bulk
Functional: PBE
Structure: relaxed

a b c (Å): 6.253 6.252 8.096
angles (deg): 105.13 105.13 108.91
Fractional coordinates of all 8 atoms:
Pm 0.250 0.250 0.499
Pm 0.124 0.624 0.247
Pm 0.876 0.376 0.753
Pm 0.624 0.124 0.247
Pm 0.376 0.876 0.753
Pm 0.750 0.750 0.501
Dy 0.500 0.500 0.000
Tm 0.000 0.000 0.000

Output
- V (Å³/atom) = 33.442
- DOS at the Fermi energy (states/eV/atom) = 1.478
- space-group type = Fmmm, No. 69
- magnetic moment (μB per cell) = 0.0
- E_form (meV/atom) = 17


Record 2
Compound: Th2Pd3Pt3
Source: Alexandria via LeMat-Bulk
Functional: PBE
Structure: relaxed

a b c (Å): 4.252 4.209 8.453
angles (deg): 90.00 90.00 90.00
Fractional coordinates of all 8 atoms:
Pt 0.000 0.500 0.500
Pt 0.000 0.500 0.000
Pt 0.500 0.000 0.500
Th 0.000 0.000 0.750
Th 0.000 0.000 0.250
Pd 0.500 0.000 0.000
Pd 0.500 0.500 0.250
Pd 0.500 0.500 0.750

Output
- relative energy among the computed polymorphs (eV per formula unit) = 0.00
- V (Å³/atom) = 18.909
- DOS at the Fermi energy (states/eV/atom) = 0.121
- space-group type = Pmmm, No. 47
- magnetic moment (μB per cell) = 0.0
- E_form (meV/atom) = -1027


Record 3
Compound: Ba2TbHoSe4
Source: Alexandria via LeMat-Bulk
Functional: PBE
Structure: relaxed

a b c (Å): 4.292 7.413 7.793
angles (deg): 108.60 90.00 90.00
Fractional coordinates of all 8 atoms:
Ho 0.000 0.000 0.000
Ba 0.500 0.000 0.500
Ba 0.000 0.500 0.500
Se 0.500 0.235 0.211
Se 0.000 0.739 0.212
Se 0.500 0.765 0.789
Se 0.000 0.261 0.788
Tb 0.500 0.500 0.000

Output
- raw formation energy (eV per atom) = -1.88
- V (Å³/atom) = 29.376
- DOS at the Fermi energy (states/eV/atom) = 0.470
- space-group type = P2/m, No. 10
- magnetic moment (μB per cell) = 0.0